## LiZrW (GGA-PBE)

Data for a relaxed structure of LiZrW.

```
data_LiZrW
_symmetry_space_group_name_H-M 'I 4 m m'
_symmetry_Int_Tables_number 107
_symmetry_space_group_name_Hall 'I 4 -2'
_cell_length_a 2.7644
_cell_length_b 2.7644
_cell_length_c 14.4892
_cell_angle_alpha 90.00
_cell_angle_beta 90.00
_cell_angle_gamma 90.00
loop_
_atom_site_label
_atom_site_fract_x
_atom_site_fract_y
_atom_site_fract_z
_atom_site_occupancy
Li1 0.0000 0.0000 0.0000 1
Zr1 0.0000 0.0000 0.3138 1
W1 0.0000 0.0000 0.6532 1
```

Summary:
For the energy relative to the elements, the calculation gives 1.27 eV per formula unit. The calculation puts the calculated volume at 18.45 A^3/atom. The calculation puts the density of states at the Fermi level at 3.164 states/eV/f.u.

=====

## La2Ho3Co2 (GGA-PBE)

Data for a relaxed structure of La2Ho3Co2.

```
data_La2Ho3Co2
_symmetry_space_group_name_H-M 'P -1'
_symmetry_Int_Tables_number 2
_cell_length_a 3.9207
_cell_length_b 6.6335
_cell_length_c 8.3188
_cell_angle_alpha 74.61
_cell_angle_beta 76.38
_cell_angle_gamma 72.84
loop_
_symmetry_equiv_pos_as_xyz
'x,y,z'
'-x,-y,-z'
loop_
_atom_site_label
_atom_site_fract_x
_atom_site_fract_y
_atom_site_fract_z
_atom_site_occupancy
La1 0.1005 0.2032 0.0973 1
Ho1 0.2947 0.5963 0.3148 1
Ho2 0.5000 0.0000 0.5000 1
Co1 0.0843 0.7083 0.6229 1
```

Summary:
For the energy relative to the elements, the calculation gives -0.77 eV per formula unit. The calculation puts the calculated volume at 28.05 A^3/atom. The calculation puts the density of states at the Fermi level at 7.140 states/eV/f.u.

=====

> Which of these has the highest calculated volume?

La2Ho3Co2

=====

Copy entry 2 word for word.
## La2Ho3Co2 (GGA-PBE)

Data for a relaxed structure of La2Ho3Co2.

```
data_La2Ho3Co2
_symmetry_space_group_name_H-M 'P -1'
_symmetry_Int_Tables_number 2
_cell_length_a 3.9207
_cell_length_b 6.6335
_cell_length_c 8.3188
_cell_angle_alpha 74.61
_cell_angle_beta 76.38
_cell_angle_gamma 72.84
loop_
_symmetry_equiv_pos_as_xyz
'x,y,z'
'-x,-y,-z'
loop_
_atom_site_label
_atom_site_fract_x
_atom_site_fract_y
_atom_site_fract_z
_atom_site_occupancy
La1 0.1005 0.2032 0.0973 1
Ho1 0.2947 0.5963 0.3148 1
Ho2 0.5000 0.0000 0.5000 1
Co1 0.0843 0.7083 0.6229 1
```

Summary:
For the energy relative to the elements, the calculation gives -0.77 eV per formula unit. The calculation puts the calculated volume at 28.05 A^3/atom. The calculation puts the density of states at the Fermi level at 7.140 states/eV/f.u.